# 1
# DyHoZnGa (GGA-PBE, optimized geometry)
# calculated total energy	-3.85	eV/atom
# energy of formation from the pure elements	-480.5	meV/atom
data_DyHoZnGa
_chemical_formula_sum 'Dy4 Ho4 Zn4 Ga4'
_cell_length_a 7.124
_cell_length_b 7.124
_cell_length_c 7.124
_cell_angle_alpha 90.00
_cell_angle_beta 90.00
_cell_angle_gamma 90.00
_symmetry_space_group_name_H-M 'F -4 3 m'
_symmetry_Int_Tables_number 216
_symmetry_space_group_name_Hall 'F -4 2 3'
loop_
_atom_site_label
_atom_site_type_symbol
_atom_site_fract_x
_atom_site_fract_y
_atom_site_fract_z
Dy1 Dy 0.000 0.000 0.000
Ho1 Ho 0.000 0.000 0.500
Zn1 Zn 0.250 0.250 0.750
Ga1 Ga 0.250 0.250 0.250

# 2
# Sr2IrSe (GGA-PBE, optimized geometry)
# calculated total energy	-4.62	eV/atom
data_Sr2IrSe
_chemical_formula_sum 'Sr2 Ir1 Se1'
_cell_length_a 3.734
_cell_length_b 3.747
_cell_length_c 7.344
_cell_angle_alpha 90.00
_cell_angle_beta 90.00
_cell_angle_gamma 90.00
_symmetry_space_group_name_H-M 'P m m m'
_symmetry_Int_Tables_number 47
_symmetry_space_group_name_Hall '-P 2 2'
loop_
_atom_site_label
_atom_site_type_symbol
_atom_site_fract_x
_atom_site_fract_y
_atom_site_fract_z
Sr1 Sr 0.000 0.000 0.250
Ir1 Ir 0.500 0.500 0.000
Se1 Se 0.500 0.500 0.500

# 3
# Ce5Fe (GGA-PBE, optimized geometry)
# calculated total energy	-6.19	eV/atom
# energy of formation from the pure elements	164.8	meV/atom
data_Ce5Fe
_chemical_formula_sum 'Ce10 Fe2'
_cell_length_a 4.297
_cell_length_b 15.028
_cell_length_c 4.295
_cell_angle_alpha 90.00
_cell_angle_beta 90.00
_cell_angle_gamma 90.00
_symmetry_space_group_name_H-M 'C m m m'
_symmetry_Int_Tables_number 65
_symmetry_space_group_name_Hall '-C 2 2'
loop_
_atom_site_label
_atom_site_type_symbol
_atom_site_fract_x
_atom_site_fract_y
_atom_site_fract_z
Ce1 Ce 0.000 0.000 0.000
Ce2 Ce 0.000 0.172 0.500
Ce3 Ce 0.000 0.344 0.000
Fe1 Fe 0.000 0.500 0.500

# 4
# PuPaRuAu (GGA-PBE, optimized geometry)
# calculated total energy	-9.30	eV/atom
# energy of formation from the pure elements	-206.0	meV/atom
data_PuPaRuAu
_chemical_formula_sum 'Pu4 Pa4 Ru4 Au4'
_cell_length_a 7.019
_cell_length_b 7.019
_cell_length_c 7.019
_cell_angle_alpha 90.00
_cell_angle_beta 90.00
_cell_angle_gamma 90.00
_symmetry_space_group_name_H-M 'F -4 3 m'
_symmetry_Int_Tables_number 216
_symmetry_space_group_name_Hall 'F -4 2 3'
loop_
_atom_site_label
_atom_site_type_symbol
_atom_site_fract_x
_atom_site_fract_y
_atom_site_fract_z
Pu1 Pu 0.000 0.000 0.000
Pa1 Pa 0.000 0.000 0.500
Ru1 Ru 0.250 0.250 0.250
Au1 Au 0.250 0.250 0.750

# 5
# FeCu2Ir (GGA-PBE, optimized geometry)
# calculated total energy	-6.29	eV/atom
# energy above the most stable polymorph in this dataset	21	meV per atom
# energy of formation from the pure elements	89.2	meV/atom
data_FeCu2Ir
_chemical_formula_sum 'Fe2 Cu4 Ir2'
_cell_length_a 3.630
_cell_length_b 3.630
_cell_length_c 7.750
_cell_angle_alpha 90.00
_cell_angle_beta 90.00
_cell_angle_gamma 90.00
_symmetry_space_group_name_H-M 'I 4/m m m'
_symmetry_Int_Tables_number 139
_symmetry_space_group_name_Hall '-I 4 2'
loop_
_atom_site_label
_atom_site_type_symbol
_atom_site_fract_x
_atom_site_fract_y
_atom_site_fract_z
Fe1 Fe 0.000 0.000 0.000
Cu1 Cu 0.000 0.500 0.250
Ir1 Ir 0.000 0.000 0.500

# 6
# HoAlSe (GGA-PBE, optimized geometry)
# calculated total energy	-4.56	eV/atom
data_HoAlSe
_chemical_formula_sum 'Ho2 Al2 Se2'
_cell_length_a 3.7669
_cell_length_b 3.7669
_cell_length_c 12.0446
_cell_angle_alpha 90.00
_cell_angle_beta 90.00
_cell_angle_gamma 120.00
_symmetry_space_group_name_H-M 'P -6 m 2'
_symmetry_Int_Tables_number 187
_symmetry_space_group_name_Hall 'P -6 2'
loop_
_atom_site_label
_atom_site_type_symbol
_atom_site_fract_x
_atom_site_fract_y
_atom_site_fract_z
Ho1 Ho 0.0000 0.0000 0.1885
Al1 Al 0.0000 0.0000 0.5000
Al2 Al 0.3333 0.6667 0.0000
Se1 Se 0.3333 0.6667 0.3421

# 7
# TmHf2Ga6 (GGA-PBE, optimized geometry)
# calculated total energy	-5.11	eV/atom
# energy above the most stable polymorph in this dataset	0	meV per atom
# energy of formation from the pure elements	-383.3	meV/atom
data_TmHf2Ga6
_chemical_formula_sum 'Tm1 Hf2 Ga6'
_cell_length_a 7.7047
_cell_length_b 7.7047
_cell_length_c 3.1731
_cell_angle_alpha 90.00
_cell_angle_beta 90.00
_cell_angle_gamma 120.00
_symmetry_space_group_name_H-M 'P 6/m m m'
_symmetry_Int_Tables_number 191
_symmetry_space_group_name_Hall '-P 6 2'
loop_
_atom_site_label
_atom_site_type_symbol
_atom_site_fract_x
_atom_site_fract_y
_atom_site_fract_z
Tm1 Tm 0.0000 0.0000 0.0000
Hf1 Hf 0.3333 0.6667 0.0000
Ga1 Ga 0.0000 0.3362 0.5000